(1)
Below is a relaxed structure of Hf2AlInCu2Ni2, with properties calculated at the PBE-GGA level.

For the electronic total energy, the calculation gives -6.025 eV per atom. Its space-group type is P-4m2 (115).

Unit cell a=4.398 b=4.398 c=6.243 alpha=90.00 beta=90.00 gamma=90.00
Fractional coordinates of all 8 atoms:
Hf (0.000, 0.000, 0.000)
Hf (0.500, 0.500, 0.500)
Al (0.000, 0.000, 0.500)
In (0.500, 0.500, 0.000)
Cu (0.000, 0.500, 0.263)
Cu (0.500, 0.000, 0.737)
Ni (0.000, 0.500, 0.732)
Ni (0.500, 0.000, 0.268)

(2)
Below is a relaxed structure of Hf2AlInCu2Pd2, with properties calculated at the PBE-GGA level.

For the electronic total energy, the calculation gives -6.040 eV per atom. Its space-group type is P-4m2 (115).

Unit cell a=4.523 b=4.523 c=6.422 alpha=90.00 beta=90.00 gamma=90.00
Fractional coordinates of all 8 atoms:
Hf (0.000, 0.000, 0.000)
Hf (0.500, 0.500, 0.500)
Al (0.000, 0.000, 0.500)
In (0.500, 0.500, 0.000)
Cu (0.000, 0.500, 0.262)
Cu (0.500, 0.000, 0.738)
Pd (0.000, 0.500, 0.732)
Pd (0.500, 0.000, 0.268)

(3)
Below is a relaxed structure of Hf3Al3Cu2Ir, with properties calculated at the PBE-GGA level.

For the electronic total energy, the calculation gives -6.960 eV per atom. Its space-group type is P-62m (189).

Unit cell a=6.517 b=6.517 c=4.071 alpha=90.00 beta=90.00 gamma=120.00
Fractional coordinates of all 9 atoms:
Hf (0.000, 0.580, 0.000)
Hf (0.420, 0.420, 0.000)
Hf (0.580, 0.000, 0.000)
Al (0.000, 0.248, 0.500)
Al (0.248, 0.000, 0.500)
Al (0.752, 0.752, 0.500)
Cu (0.333, 0.667, 0.500)
Cu (0.667, 0.333, 0.500)
Ir (0.000, 0.000, 0.000)

(4)
Below is a relaxed structure of Hf2ZrAl3Cu2Ir, with properties calculated at the PBE-GGA level.

For the electronic total energy, the calculation gives -6.809 eV per atom. Its space-group type is Amm2 (38).

Unit cell a=4.079 b=6.544 c=6.544 alpha=120.35 beta=90.00 gamma=90.00
Fractional coordinates of all 9 atoms:
Hf (0.000, 0.209, 0.791)
Hf (0.000, 0.791, 0.209)
Zr (0.000, 0.371, 0.371)
Al (0.500, 0.040, 0.040)
Al (0.500, 0.543, 0.789)
Al (0.500, 0.789, 0.543)
Cu (0.500, 0.121, 0.459)
Cu (0.500, 0.459, 0.121)
Ir (0.000, 0.797, 0.797)

(5)
Below is a relaxed structure of Hf2ZrAl3CuIr2, with properties calculated at the PBE-GGA level.

For the electronic total energy, the calculation gives -7.544 eV per atom. Its space-group type is Amm2 (38).

Unit cell a=3.426 b=7.194 c=7.194 alpha=120.19 beta=90.00 gamma=90.00
Fractional coordinates of all 9 atoms:
Hf (0.000, 0.202, 0.798)
Hf (0.000, 0.798, 0.202)
Zr (0.000, 0.604, 0.604)
Al (0.500, 0.201, 0.457)
Al (0.500, 0.457, 0.201)
Al (0.500, 0.944, 0.944)
Cu (0.000, 0.199, 0.199)
Ir (0.500, 0.534, 0.871)
Ir (0.500, 0.871, 0.534)

(6)
Below is a relaxed structure of LiHfAlCu, with properties calculated at the PBE-GGA level.

For the electronic total energy, the calculation gives -5.013 eV per atom. Its space-group type is F-43m (216).

Unit cell a=4.380 b=4.380 c=4.380 alpha=60.00 beta=60.00 gamma=60.00
Fractional coordinates of all 4 atoms:
Li (0.000, 0.000, 0.000)
Hf (0.750, 0.750, 0.750)
Al (0.250, 0.250, 0.250)
Cu (0.500, 0.500, 0.500)